1.
Entry from Alexandria via LeMat-Bulk: Li2Sn2P after structural relaxation (PBE).

Cell lengths 7.175, 7.175, 4.343 Å; angles 90.00, 90.00, 90.00 degrees
Positions (direct):
Li 0.342 0.158 0.500
Li 0.158 0.658 0.500
Li 0.842 0.342 0.500
Li 0.658 0.842 0.500
Sn 0.353 0.853 0.000
Sn 0.853 0.647 0.000
Sn 0.647 0.147 0.000
Sn 0.147 0.353 0.000
P 0.000 0.000 0.000
P 0.500 0.500 0.000

Formation enthalpy at 0 K   -0.04 eV/atom
E_tot   -0.2564 Ry per atom
Space-group type   P4/mbm
DOS(E_F)   3.263 states/eV/f.u.



2.
Entry from Alexandria via LeMat-Bulk: BeRuPt after structural relaxation (PBE).

Cell lengths 4.104, 4.104, 2.703 Å; angles 90.00, 90.00, 120.00 degrees
Positions (direct):
Pt 0.333 0.667 0.167
Ru 0.667 0.333 0.667
Be 0.000 0.000 0.166

Formation enthalpy at 0 K   -0.07 eV/atom
E_tot   -0.4713 Ry per atom
Space-group type   P-6m2
DOS(E_F)   2.965 states/eV/f.u.



3.
Entry from Alexandria via LeMat-Bulk: Ca2Ga6Rh9 after structural relaxation (PBE).

Cell lengths 5.577, 5.577, 11.647 Å; angles 90.00, 90.00, 120.00 degrees
Positions (direct):
Rh 0.500 0.500 0.500
Rh 0.000 0.500 0.500
Rh 0.500 0.000 0.169
Rh 0.500 0.000 0.831
Rh 0.500 0.000 0.500
Rh 0.000 0.500 0.831
Rh 0.500 0.500 0.831
Rh 0.000 0.500 0.169
Rh 0.500 0.500 0.169
Ga 0.667 0.333 0.666
Ga 0.667 0.333 0.334
Ga 0.667 0.333 0.000
Ga 0.333 0.667 0.666
Ga 0.333 0.667 0.000
Ga 0.333 0.667 0.334
Ca 0.000 0.000 0.695
Ca 0.000 0.000 0.305

Formation enthalpy at 0 K   -0.45 eV/atom
E_tot   -0.4148 Ry per atom
Space-group type   P6/mmm
DOS(E_F)   7.748 states/eV/f.u.



4.
Entry from Alexandria via LeMat-Bulk: NdPuCoOs after structural relaxation (PBE).

Cell lengths 4.858, 4.858, 4.858 Å; angles 60.00, 60.00, 60.00 degrees
Positions (direct):
Pu 0.500 0.500 0.500
Nd 0.000 0.000 0.000
Os 0.250 0.250 0.250
Co 0.750 0.750 0.750

Formation enthalpy at 0 K   0.09 eV/atom
E_tot   -0.6812 Ry per atom
Space-group type   F-43m
DOS(E_F)   5.785 states/eV/f.u.



5.
Entry from Alexandria via LeMat-Bulk: TlTeCl2 after structural relaxation (PBE).

Cell lengths 6.263, 6.263, 6.263 Å; angles 148.47, 114.13, 74.86 degrees
Positions (direct):
Cl 0.981 0.981 0.000
Cl 0.519 0.519 0.000
Tl 0.250 0.750 0.500
Te 0.750 0.250 0.500

E_tot   -0.1967 Ry per atom
Space-group type   Immm
DOS(E_F)   0.444 states/eV/f.u.
Formation energy (no corrections)   -376 meV per atom



6.
Entry from Alexandria via LeMat-Bulk: K2ReSb after structural relaxation (PBE).

Cell lengths 2.947, 2.947, 11.566 Å; angles 90.00, 90.00, 91.67 degrees
Positions (direct):
Re 0.500 0.500 0.250
K 0.000 0.000 0.493
K 0.000 0.000 0.007
Sb 0.500 0.500 0.750

E_tot   -0.2790 Ry per atom
Space-group type   Cmmm
DOS(E_F)   2.792 states/eV/f.u.
Formation energy (no corrections)   896 meV per atom